# 1
Density functional theory data (PBE) for PaAg2HgO8 after structural relaxation.

For the total moment, the calculation gives 0.00 μB/f.u. The uncorrected formation energy comes out at -0.628 eV/atom.

It has space group I-4m2 (No. 119), with a = 6.866 Å, b = 6.866 Å, c = 7.524 Å, α = 90.00°, β = 90.00° and γ = 90.00°. Symmetry generates all atoms from Pa at (0.000, 0.000, 0.000), Ag at (0.000, 0.000, 0.500), Ag at (0.000, 0.500, 0.750), Hg at (0.000, 0.500, 0.250), O at (0.000, 0.174, 0.279) and O at (0.000, 0.300, 0.955).

# 2
Density functional theory data (PBE) for Pm2AgHgO5 after structural relaxation.

For the total moment, the calculation gives 0.00 μB/f.u. The uncorrected formation energy comes out at -1.774 eV/atom.

It has space group P4/mbm (No. 127), with a = 6.886 Å, b = 6.886 Å, c = 5.845 Å, α = 90.00°, β = 90.00° and γ = 90.00°. Symmetry generates all atoms from Pm at (0.175, 0.325, 0.000), Ag at (0.000, 0.500, 0.500), Hg at (0.000, 0.000, 0.500), O at (0.000, 0.000, 0.000) and O at (0.132, 0.632, 0.234).

# 3
Density functional theory data (PBE) for Pr2AgHgO5 after structural relaxation.

For the total moment, the calculation gives 0.00 μB/f.u. The uncorrected formation energy comes out at -1.734 eV/atom.

It has space group P4/mbm (No. 127), with a = 7.014 Å, b = 7.014 Å, c = 5.856 Å, α = 90.00°, β = 90.00° and γ = 90.00°. Symmetry generates all atoms from Pr at (0.176, 0.324, 0.000), Ag at (0.000, 0.500, 0.500), Hg at (0.000, 0.000, 0.500), O at (0.000, 0.000, 0.000) and O at (0.131, 0.631, 0.237).

# 4
Density functional theory data (PBE) for PuAg2Hg3O6 after structural relaxation.

For the total moment, the calculation gives 0.96 μB/f.u. The uncorrected formation energy comes out at -0.833 eV/atom.

It has space group C2/m (No. 12), with a = 6.484 Å, b = 9.646 Å, c = 6.219 Å, α = 90.00°, β = 96.44° and γ = 90.00°. Symmetry generates all atoms from Pu at (0.000, 0.000, 0.000), Ag at (0.000, 0.354, 0.000), Hg at (0.000, 0.202, 0.500), Hg at (0.000, 0.500, 0.500), O at (0.136, 0.000, 0.707) and O at (0.200, 0.142, 0.130).

# 5
Density functional theory data (PBE) for PuAg3Hg2O6 after structural relaxation.

For the total moment, the calculation gives 0.95 μB/f.u. The uncorrected formation energy comes out at -0.840 eV/atom.

It has space group C2/m (No. 12), with a = 5.334 Å, b = 13.989 Å, c = 5.186 Å, α = 90.00°, β = 104.42° and γ = 90.00°. Symmetry generates all atoms from Pu at (0.000, 0.000, 0.000), Ag at (0.000, 0.188, 0.500), Ag at (0.000, 0.500, 0.500), Hg at (0.000, 0.303, 0.000), O at (0.216, 0.000, 0.772) and O at (0.234, 0.112, 0.235).

# 6
Density functional theory data (PBE) for Pu2AgHgO8 after structural relaxation.

For the total moment, the calculation gives 3.63 μB/f.u. The uncorrected formation energy comes out at -1.216 eV/atom.

It has space group I-4m2 (No. 119), with a = 6.949 Å, b = 6.949 Å, c = 8.308 Å, α = 90.00°, β = 90.00° and γ = 90.00°. Symmetry generates all atoms from Pu at (0.000, 0.000, 0.000), Pu at (0.000, 0.500, 0.250), Ag at (0.000, 0.000, 0.500), Hg at (0.000, 0.500, 0.750), O at (0.000, 0.196, 0.831) and O at (0.000, 0.304, 0.418).